# 1
Zn4SiTe2 | PBE | optimized geometry

Cell: 7.935 7.935 7.935 Å, 144.32 144.32 51.35°
Element x y z (fractional)
Zn 0.000 0.500 0.500
Zn 0.169 0.169 0.000
Zn 0.500 0.000 0.500
Zn 0.831 0.831 0.000
Si 0.000 0.000 0.000
Te 0.347 0.347 0.000
Te 0.653 0.653 0.000

Values from the calculation:
N(E_F) in states/eV/f.u.: 4.676
Crystal system: tetragonal
Total magnetic moment in Bohr magnetons per cell: 0.000
E in eV per atom: -2.267

# 2
ZnSiTe | PBE | optimized geometry

Cell: 3.173 3.173 7.597 Å, 90.00 90.00 120.00°
Element x y z (fractional)
Zn 0.000 0.000 0.000
Si 0.667 0.333 0.250
Te 0.333 0.667 0.678

Values from the calculation:
N(E_F) in states/eV/f.u.: 1.947
Crystal system: trigonal
Offset from the most stable computed form in eV per formula unit: 0.96
Total magnetic moment in Bohr magnetons per cell: 0.000

# 3
Zn2SiTe2 | PBE | optimized geometry

Cell: 7.998 7.998 7.998 Å, 151.56 151.56 40.65°
Element x y z (fractional)
Zn 0.250 0.750 0.500
Zn 0.750 0.250 0.500
Si 0.000 0.000 0.000
Te 0.386 0.386 0.000
Te 0.614 0.614 0.000

Values from the calculation:
N(E_F) in states/eV/f.u.: 2.163
Crystal system: tetragonal
Total magnetic moment in Bohr magnetons per cell: 0.000
E in eV per atom: -2.546